# 1
# Dy2Be4GePt3

A geometry-optimized Dy2Be4GePt3 structure (PBE, Alexandria via LeMat-Bulk).

abc: 3.9483 3.9483 9.8812
angles: 90.00 90.00 90.00
With the nearest neighbours (Å) after each atom.
Space group P-4m2 (No. 115)
Unique sites:
Dy: 0.0000 0.5000 0.2477  8 Be 3.00-3.14, 6 Pt 3.06-3.18, 2 Ge 3.18
Be: 0.0000 0.0000 0.0000  4 Pt 2.31
Be: 0.0000 0.5000 0.6403  3 Pt 2.35-2.41, 2 Ge 2.41
Be: 0.5000 0.5000 0.0000  4 Pt 2.31
Ge: 0.0000 0.0000 0.5000  4 Be 2.41
Pt: 0.0000 0.5000 0.8779  5 Be 2.31-2.35
Pt: 0.5000 0.5000 0.5000  4 Be 2.41

Calculated values
Magnetization: 0.0 μB per cell
Energy relative to the elements: -764 meV/atom

# 2
# NaErTl2F6

A geometry-optimized NaErTl2F6 structure (PBE, Alexandria via LeMat-Bulk).

abc: 6.3286 6.3158 10.9439
angles: 90.00 125.32 90.00
With the nearest neighbours (Å) after each atom.
Space group P2_1/c (No. 14)
Unique sites:
Na: 0.0000 0.0000 0.0000  6 F 2.35
Er: 0.5000 0.0000 0.5000  6 F 2.17
Tl: 0.2464 0.0131 0.7503  8 F 2.86-3.19
F: 0.2108 0.2184 0.4723  1 Er 2.17, 1 Na 2.35
F: 0.2552 0.7368 0.4716  1 Er 2.17, 1 Na 2.35
F: 0.3135 0.0076 0.2602  1 Er 2.17, 1 Na 2.35

Calculated values
Magnetization: 0.0 μB per cell
E_form (uncorrected): -2.9378 eV per atom

# 3
# Tc2AsPb

A geometry-optimized Tc2AsPb structure (PBE, Alexandria via LeMat-Bulk).

abc: 3.2427 5.3327 8.3466
angles: 90.00 90.00 90.00
With the nearest neighbours (Å) after each atom.
Space group Cmmm (No. 65)
Unique sites:
Tc: 0.0000 0.0000 0.2171  2 As 2.43
As: 0.0000 0.5000 0.0000  4 Tc 2.43
Pb: 0.0000 0.5000 0.5000  4 Tc 2.86, 4 Pb 3.12

Calculated values
Magnetization: 0.0 μB per cell
Polymorph energy (0 for the lowest one): 408 meV/atom
Energy relative to the elements: 546 meV/atom

# 4
# VSb3N

A geometry-optimized VSb3N structure (PBE, Alexandria via LeMat-Bulk).

abc: 5.0606 5.0606 5.0606
angles: 90.00 90.00 90.00
With the nearest neighbours (Å) after each atom.
Space group Pm-3m (No. 221)
Unique sites:
V: 0.0000 0.0000 0.0000  6 Sb 2.53
Sb: 0.0000 0.0000 0.5000  2 V 2.53
N: 0.5000 0.5000 0.5000  12 Sb 3.58

Calculated values
Magnetization: 1.8 μB per cell
Polymorph energy (0 for the lowest one): 483 meV/atom
E_form (uncorrected): 1.1670 eV per atom

# 5
# Pm6MgOs2

A geometry-optimized Pm6MgOs2 structure (PBE, Alexandria via LeMat-Bulk).

abc: 9.7394 9.8633 10.6634
angles: 90.00 90.00 90.00
With the nearest neighbours (Å) after each atom.
Space group Immm (No. 71)
Unique sites:
Pm: 0.0000 0.2060 0.2413  1 Os 2.80
Pm: 0.1843 0.5000 0.1739  3 Os 2.86-3.14
Pm: 0.2203 0.3156 0.5000  3 Os 3.03-3.08, 1 Mg 3.28
Mg: 0.0000 0.0000 0.0000  2 Os 3.13, 8 Pm 3.28
Mg: 0.0000 0.0000 0.5000  12 Pm 3.43-3.78
Os: 0.0000 0.3178 0.0000  4 Pm 2.80-3.03, 1 Mg 3.13
Os: 0.0000 0.5000 0.3825  1 Os 2.51

Calculated values
Magnetization: 0.0 μB per cell
Energy relative to the elements: -118 meV/atom

# 6
# CuAg2F5

A geometry-optimized CuAg2F5 structure (PBE, Alexandria via LeMat-Bulk).

abc: 6.7301 9.6788 3.2244
angles: 90.00 90.00 90.00
With the nearest neighbours (Å) after each atom.
Space group Pbam (No. 55)
Unique sites:
Cu: 0.0000 0.0000 0.0000  6 F 1.93-2.06
Ag: 0.0113 0.3268 0.5000  6 F 2.33-2.59
F: 0.0000 0.5000 0.0000  4 Ag 2.33
F: 0.1466 0.8285 0.0000  1 Cu 1.93
F: 0.1511 0.0801 0.5000  2 Cu 2.06

Calculated values
Magnetization: 4.1 μB per cell
E_form (uncorrected): -1.2250 eV per atom

# 7
# SrYOs2

A geometry-optimized SrYOs2 structure (PBE, Alexandria via LeMat-Bulk).

abc: 3.4318 4.6774 5.0396
angles: 90.00 90.00 90.00
With the nearest neighbours (Å) after each atom.
Space group Pmmm (No. 47)
Unique sites:
Sr: 0.0000 0.0000 0.0000  4 Os 2.90, 4 Y 3.05
Y: 0.5000 0.0000 0.5000  4 Os 2.90, 4 Sr 3.05
Os: 0.0000 0.5000 0.5000  4 Y 2.90, 4 Os 3.05
Os: 0.5000 0.5000 0.0000  4 Sr 2.90, 4 Os 3.05

Calculated values
Magnetization: 0.0 μB per cell
Polymorph energy (0 for the lowest one): 695 meV/atom
Energy relative to the elements: 834 meV/atom

# 8
# TaPd2Rh

A geometry-optimized TaPd2Rh structure (PBE, Alexandria via LeMat-Bulk).

abc: 6.3047 6.3047 6.3047
angles: 90.00 90.00 90.00
With the nearest neighbours (Å) after each atom.
Space group Fm-3m (No. 225)
Unique sites:
Ta: 0.0000 0.0000 0.0000  8 Pd 2.73
Pd: 0.2500 0.2500 0.2500  4 Rh 2.73, 4 Ta 2.73
Rh: 0.0000 0.0000 0.5000  8 Pd 2.73

Calculated values
Magnetization: 0.0 μB per cell
Polymorph energy (0 for the lowest one): 330 meV/atom
Energy relative to the elements: -169 meV/atom

# 9
# Sr2YPdSe

A geometry-optimized Sr2YPdSe structure (PBE, Alexandria via LeMat-Bulk).

abc: 6.6116 6.6116 5.1612
angles: 90.00 90.00 90.00
With the nearest neighbours (Å) after each atom.
Space group P4/mmm (No. 123)
Unique sites:
Sr: 0.0000 0.5000 0.0000  2 Y 3.31
Y: 0.0000 0.0000 0.0000  2 Se 2.58
Pd: 0.5000 0.5000 0.5000  8 Sr 4.19, 4 Se 4.68
Se: 0.0000 0.0000 0.5000  2 Y 2.58

Calculated values
Magnetization: 1.1 μB per cell
E_form (uncorrected): 0.2743 eV per atom

# 10
# CdCuCl

A geometry-optimized CdCuCl structure (PBE, Alexandria via LeMat-Bulk).

abc: 3.2998 6.1018 5.9364
angles: 90.00 90.00 90.00
With the nearest neighbours (Å) after each atom.
Space group Pmc2_1 (No. 26)
Unique sites:
Cd: 0.0000 0.0662 0.0000  4 Cu 2.75-2.81
Cu: 0.5000 0.2585 0.3126  2 Cl 2.33
Cl: 0.5000 0.3813 0.6836  2 Cu 2.33

Calculated values
Magnetization: 0.0 μB per cell
Polymorph energy (0 for the lowest one): 16 meV/atom
E_form (uncorrected): -0.2623 eV per atom

# 11
# Ba2NiAu

A geometry-optimized Ba2NiAu structure (PBE, Alexandria via LeMat-Bulk).

abc: 4.6507 4.6507 6.5572
angles: 90.00 90.00 90.00
With the nearest neighbours (Å) after each atom.
Space group P4mm (No. 99)
Unique sites:
Ba: 0.0000 0.0000 0.0000  2 Ni 3.26-3.29, 4 Au 3.29
Ba: 0.5000 0.5000 0.4995  2 Au 3.28, 4 Ni 3.29
Ni: 0.0000 0.0000 0.5022  6 Ba 3.26-3.29
Au: 0.5000 0.5000 0.9993  6 Ba 3.28-3.29

Calculated values
Magnetization: 0.0 μB per cell
Energy relative to the elements: -168 meV/atom

# 12
# NaGa2Ag8

A geometry-optimized NaGa2Ag8 structure (PBE, Alexandria via LeMat-Bulk).

abc: 14.7876 4.2538 6.6265
angles: 90.00 108.24 90.00
With the nearest neighbours (Å) after each atom.
Space group C2/m (No. 12)
Unique sites:
Na: 0.0000 0.0000 0.0000  12 Ag 2.91-3.02
Ga: 0.2249 0.5000 0.6437  10 Ag 2.76-3.01
Ag: 0.0483 0.5000 0.7266  1 Ga 2.83, 9 Ag 2.89-3.05, 2 Na 3.02
Ag: 0.0956 0.0000 0.4672  3 Ga 2.85-2.97, 8 Ag 2.90-3.00, 1 Na 2.97
Ag: 0.1438 0.5000 0.2059  3 Ga 2.77-2.84, 7 Ag 2.94-3.05, 2 Na 3.02
Ag: 0.1833 0.0000 0.9242  3 Ga 2.76-3.01, 8 Ag 2.86-3.01, 1 Na 2.91

Calculated values
Magnetization: 0.0 μB per cell
Energy relative to the elements: -11 meV/atom